# 1
This record from the Open Quantum Materials Database describes a relaxed KTbCd crystal. The functional is PBE-GGA.

Computed properties:
Space group ... F-43m, No. 216
Raw total energy ... -1.3472 eV per atom
Magnetic moment ... 0.7 Bohr magnetons per cell
V ... 35.94 Å³ per atom

Unit cell a=5.3422 b=5.3422 c=5.3422 alpha=60.00 beta=60.00 gamma=60.00
With the nearest neighbours (Å) after each atom.
Positions (direct):
Cd: 0.2500 0.2500 0.2500  4 K 3.27
K: 0.0000 0.0000 0.0000  4 Tb 3.27, 4 Cd 3.27
Tb: 0.7500 0.7500 0.7500  4 K 3.27

# 2
This record from the Open Quantum Materials Database describes a relaxed KCdTc crystal. The functional is PBE-GGA.

Computed properties:
Space group ... F-43m, No. 216
Distance to the lowest polymorph of the same formula ... 0 meV per atom
Magnetic moment ... 3.3 Bohr magnetons per cell
V ... 30.95 Å³ per atom

Unit cell a=5.0830 b=5.0830 c=5.0830 alpha=60.00 beta=60.00 gamma=60.00
With the nearest neighbours (Å) after each atom.
Positions (direct):
Cd: 0.0000 0.0000 0.0000  4 Tc 3.11, 4 K 3.11
K: 0.2500 0.2500 0.2500  4 Cd 3.11
Tc: 0.7500 0.7500 0.7500  4 Cd 3.11

# 3
This record from the Open Quantum Materials Database describes a relaxed KYCdTe3 crystal. The functional is PBE-GGA.

Computed properties:
Space group ... C2/m, No. 12
Raw total energy ... -3.9587 eV per atom
Magnetic moment ... 0.0 Bohr magnetons per cell
V ... 34.53 Å³ per atom

Unit cell a=9.9865 b=9.9865 c=9.7819 alpha=103.12 beta=103.12 gamma=25.90
With the nearest neighbours (Å) after each atom.
Positions (direct):
Cd: 0.5187 0.5187 0.2198  4 Te 2.85-3.07
Cd: 0.4813 0.4813 0.7802  4 Te 2.85-3.07
K: 0.8600 0.8600 0.4323  7 Te 3.47-3.61
K: 0.1400 0.1400 0.5677  7 Te 3.47-3.61
Te: 0.0000 0.0000 0.0000  4 Cd 3.07, 2 Y 3.33
Te: 0.3367 0.3367 0.1363  3 Y 3.05-3.09
Te: 0.6724 0.6724 0.2998  1 Cd 2.91, 2 Y 3.08
Te: 0.5000 0.5000 0.5000  2 Cd 2.85
Te: 0.3276 0.3276 0.7002  1 Cd 2.91, 2 Y 3.08
Te: 0.6633 0.6633 0.8637  3 Y 3.05-3.09
Y: 0.1760 0.1760 0.0854  6 Te 3.05-3.33
Y: 0.8240 0.8240 0.9146  6 Te 3.05-3.33

# 4
This record from the Open Quantum Materials Database describes a relaxed KYCdTe3 crystal. The functional is PBE-GGA.

Computed properties:
Space group ... P2_1/m, No. 11
Raw total energy ... -4.0393 eV per atom
Magnetic moment ... 0.0 Bohr magnetons per cell
V ... 35.99 Å³ per atom

Unit cell a=9.0791 b=4.4902 c=11.1360 alpha=90.00 beta=107.97 gamma=90.00
With the nearest neighbours (Å) after each atom.
Positions (direct):
Cd: 0.0796 0.2500 0.1110  4 Te 2.80-2.98
Cd: 0.9204 0.7500 0.8890  4 Te 2.80-2.98
K: 0.7554 0.7500 0.2226  6 Te 3.51-3.81
K: 0.2446 0.2500 0.7774  6 Te 3.51-3.81
Te: 0.2480 0.7500 0.0552  3 Cd 2.89-2.98
Te: 0.5470 0.2500 0.3505  3 Y 3.03-3.09
Te: 0.0782 0.2500 0.3617  1 Cd 2.80, 2 Y 3.12
Te: 0.9218 0.7500 0.6383  1 Cd 2.80, 2 Y 3.12
Te: 0.4530 0.7500 0.6495  3 Y 3.03-3.09
Te: 0.7520 0.2500 0.9448  3 Cd 2.89-2.98
Y: 0.3187 0.7500 0.3647  6 Te 3.03-3.31
Y: 0.6813 0.2500 0.6353  6 Te 3.03-3.31

# 5
This record from the Open Quantum Materials Database describes a relaxed K3Th5Cd crystal. The functional is PBE-GGA.

Computed properties:
Space group ... P-62m, No. 189
Raw total energy ... -3.7461 eV per atom
Magnetic moment ... 0.7 Bohr magnetons per cell
V ... 39.58 Å³ per atom

Unit cell a=8.2564 b=8.2564 c=6.0336 alpha=90.00 beta=90.00 gamma=120.00
With the nearest neighbours (Å) after each atom.
Positions (direct):
Cd: 0.0000 0.0000 0.0000  3 K 3.48, 6 Th 3.56
K: 0.5784 0.0000 0.0000  1 Cd 3.48
K: 0.4216 0.4216 0.0000  1 Cd 3.48
K: 0.0000 0.5784 0.0000  1 Cd 3.48
Th: 0.2278 0.0000 0.5000  4 Th 3.26-3.28, 2 Cd 3.56
Th: 0.0000 0.2278 0.5000  4 Th 3.26-3.28, 2 Cd 3.56
Th: 0.6667 0.3333 0.5000  3 Th 3.28
Th: 0.3333 0.6667 0.5000  3 Th 3.28
Th: 0.7722 0.7722 0.5000  4 Th 3.26-3.28, 2 Cd 3.56

# 6
This record from the Open Quantum Materials Database describes a relaxed K4Tl3Cd crystal. The functional is PBE-GGA.

Computed properties:
Space group ... P-4m2, No. 115
Raw total energy ... -1.6068 eV per atom
V ... 34.98 Å³ per atom

Unit cell a=5.8072 b=5.8072 c=8.2987 alpha=90.00 beta=90.00 gamma=90.00
With the nearest neighbours (Å) after each atom.
Positions (direct):
Cd: 0.0000 0.0000 0.0000  4 K 3.56, 4 Tl 3.57
K: 0.5000 0.5000 0.0000  4 K 3.56, 4 Tl 3.57
K: 0.0000 0.5000 0.2486  4 K 3.56-3.58, 2 Cd 3.56, 2 Tl 3.58
K: 0.0000 0.0000 0.5000  4 Tl 3.57, 4 K 3.58
K: 0.5000 0.0000 0.7514  4 K 3.56-3.58, 2 Cd 3.56, 2 Tl 3.58
Tl: 0.5000 0.0000 0.2496  2 Cd 3.57, 4 K 3.57, 2 Tl 3.57
Tl: 0.5000 0.5000 0.5000  4 Tl 3.57, 4 K 3.58
Tl: 0.0000 0.5000 0.7504  4 K 3.57, 2 Cd 3.57, 2 Tl 3.57

# 7
This record from the Open Quantum Materials Database describes a relaxed K2TlCd crystal. The functional is PBE-GGA.

Computed properties:
Space group ... Pmma, No. 51
Raw total energy ... -1.3965 eV per atom
V ... 34.00 Å³ per atom

Unit cell a=5.7223 b=5.8021 c=8.1922 alpha=90.00 beta=90.00 gamma=90.00
With the nearest neighbours (Å) after each atom.
Positions (direct):
Cd: 0.2500 0.0000 0.1253  4 K 3.51-3.55, 2 Cd 3.52, 2 Tl 3.57
Cd: 0.7500 0.0000 0.8747  4 K 3.51-3.55, 2 Cd 3.52, 2 Tl 3.57
K: 0.7500 0.5000 0.1243  4 K 3.51-3.54, 2 Tl 3.54, 2 Cd 3.55
K: 0.7500 0.0000 0.3729  2 Cd 3.51, 4 K 3.54, 2 Tl 3.54
K: 0.2500 0.0000 0.6271  2 Cd 3.51, 4 K 3.54, 2 Tl 3.54
K: 0.2500 0.5000 0.8757  4 K 3.51-3.54, 2 Tl 3.54, 2 Cd 3.55
Tl: 0.2500 0.5000 0.3786  2 Tl 3.48, 4 K 3.54, 2 Cd 3.57
Tl: 0.7500 0.5000 0.6214  2 Tl 3.48, 4 K 3.54, 2 Cd 3.57

# 8
This record from the Open Quantum Materials Database describes a relaxed KTlCd crystal. The functional is PBE-GGA.

Computed properties:
Space group ... F-43m, No. 216
Distance to the lowest polymorph of the same formula ... 0 meV per atom
V ... 38.13 Å³ per atom

Unit cell a=5.4488 b=5.4488 c=5.4488 alpha=60.00 beta=60.00 gamma=60.00
With the nearest neighbours (Å) after each atom.
Positions (direct):
Cd: 0.0000 0.0000 0.0000  4 K 3.34, 4 Tl 3.34
K: 0.2500 0.2500 0.2500  4 Cd 3.34
Tl: 0.7500 0.7500 0.7500  4 Cd 3.34